Compound: PaCdPdO5
Source: Alexandria via LeMat-Bulk
Functional: PBE
Structure: relaxed

Cell lengths 5.842, 5.842, 8.327 Å; angles 99.76, 99.76, 110.18 degrees
Last column: magnetic moment on the atom in μB.
Fractional coordinates of all 16 atoms:
Pa  0.000  0.000  0.500  0.03
Pa  0.000  0.000  0.000  0.03
Cd  0.311  0.689  0.250  0.00
Cd  0.689  0.311  0.750  0.00
Pd  0.647  0.353  0.250  0.48
Pd  0.353  0.647  0.750  0.48
O  0.089  0.911  0.250  0.02
O  0.911  0.089  0.750  0.02
O  0.771  0.180  0.078  0.10
O  0.229  0.820  0.922  0.10
O  0.820  0.229  0.422  0.10
O  0.180  0.771  0.578  0.10
O  0.644  0.660  0.400  0.12
O  0.356  0.340  0.600  0.12
O  0.340  0.356  0.100  0.12
O  0.660  0.644  0.900  0.12

Calculated values
Crystal system: monoclinic
Volume in Å³ per cell: 254.7
Fermi-level density of states in states/eV per cell: 10.2
Magnetization in μB per cell: 2.11
Formation energy without anion corrections in eV per atom: -1.729

***

Compound: VFeAsSe2
Source: Alexandria via LeMat-Bulk
Functional: PBE
Structure: relaxed

Cell lengths 4.699, 4.699, 4.712 Å; angles 90.00, 90.00, 90.00 degrees
Last column: magnetic moment on the atom in μB.
Fractional coordinates of all 5 atoms:
As  0.000  0.000  0.500  -0.06
Fe  0.500  0.500  0.500  3.30
Se  0.000  0.500  0.000  0.02
Se  0.500  0.000  0.000  0.02
V  0.000  0.000  0.000  0.32

Calculated values
Crystal system: tetragonal
Volume in Å³ per cell: 104.1
Fermi-level density of states in states/eV per cell: 6.3
Magnetization in μB per cell: 3.86
Formation energy without anion corrections in eV per atom: 0.537

***

Compound: Th2AgGe4Au3
Source: Alexandria via LeMat-Bulk
Functional: PBE
Structure: relaxed

Cell lengths 4.388, 4.388, 10.901 Å; angles 90.00, 90.00, 90.00 degrees
Fractional coordinates of all 10 atoms:
Th  0.500  0.000  0.256
Th  0.000  0.500  0.744
Ag  0.500  0.500  0.500
Ge  0.500  0.500  0.000
Ge  0.000  0.000  0.000
Ge  0.500  0.000  0.636
Ge  0.000  0.500  0.364
Au  0.000  0.000  0.500
Au  0.500  0.000  0.864
Au  0.000  0.500  0.136

Calculated values
Crystal system: tetragonal
Volume in Å³ per cell: 209.9
Fermi-level density of states in states/eV per cell: 3.0
DFT formation energy in kJ/mol of atoms: -41
Magnetization in μB per cell: 0.00

***

Compound: Na4Er3GeO8
Source: Alexandria via LeMat-Bulk
Functional: PBE
Structure: relaxed

Cell lengths 6.672, 6.766, 6.671 Å; angles 119.53, 120.00, 90.00 degrees
Fractional coordinates of all 16 atoms:
Na  0.500  0.000  0.000
Na  0.500  0.000  0.500
Na  0.000  0.000  0.000
Na  0.000  0.000  0.500
Er  0.500  0.500  0.000
Er  0.500  0.500  0.500
Er  0.000  0.500  0.500
Ge  0.000  0.500  0.000
O  0.231  0.709  0.977
O  0.231  0.708  0.462
O  0.263  0.290  0.527
O  0.746  0.709  0.977
O  0.254  0.291  0.023
O  0.737  0.710  0.473
O  0.769  0.292  0.538
O  0.769  0.291  0.023

Calculated values
Crystal system: trigonal
Volume in Å³ per cell: 214.4
Fermi-level density of states in states/eV per cell: 1.5
Magnetization in μB per cell: 0.00
Formation energy without anion corrections in eV per atom: -2.439